Li2Mn3NiO8, optimized geometry, DFT PBE+U; ΔE to the lowest computed polymorph = 48 meV per atom; crystal system = hexagonal; uncorrected energy = -6.42 eV/atom; SG = P6_3mc
1.0
5.8092 0.0000 0.0000
-2.9046 5.0309 0.0000
0.0000 0.0000 9.6099
Li Mn Ni O
4 6 2 16
Direct
0.0000 0.0000 0.0000 Li
0.0000 0.0000 0.5000 Li
0.3333 0.6667 0.3886 Li
0.6667 0.3333 0.8886 Li
0.1686 0.3373 0.7167 Mn
0.1686 0.8314 0.7167 Mn
0.3373 0.1686 0.2167 Mn
0.6627 0.8314 0.7167 Mn
0.8314 0.1686 0.2167 Mn
0.8314 0.6627 0.2167 Mn
0.3333 0.6667 0.9911 Ni
0.6667 0.3333 0.4911 Ni
0.0000 0.0000 0.3139 O
0.0000 0.0000 0.8139 O
0.0346 0.5173 0.8322 O
0.1585 0.3170 0.1081 O
0.1585 0.8415 0.1081 O
0.3170 0.1585 0.6081 O
0.3333 0.6667 0.6103 O
0.4827 0.5173 0.8322 O
0.4827 0.9654 0.8322 O
0.5173 0.0346 0.3322 O
0.5173 0.4827 0.3322 O
0.6667 0.3333 0.1103 O
0.6830 0.8415 0.1081 O
0.8415 0.1585 0.6081 O
0.8415 0.6830 0.6081 O
0.9654 0.4827 0.3322 O